DyErCo4: relaxed, GGA-PBE.

The structure in CIF format:
```
data_DyErCo4
_chemical_formula_sum 'Dy4 Er4 Co16'
_space_group_name_H-M_alt 'F -4 3 m'
_space_group_IT_number 216
_space_group_name_Hall 'F -4 2 3'
_cell_length_a 7.145
_cell_length_b 7.145
_cell_length_c 7.145
_cell_angle_alpha 90.00
_cell_angle_beta 90.00
_cell_angle_gamma 90.00
loop_
_atom_site_label
_atom_site_type_symbol
_atom_site_fract_x
_atom_site_fract_y
_atom_site_fract_z
Dy1 Dy 0.000 0.000 0.000
Er1 Er 0.250 0.250 0.250
Co1 Co 0.125 0.125 0.625
```


Dy6ErCo2: relaxed, GGA-PBE.

The structure in CIF format:
```
data_Dy6ErCo2
_chemical_formula_sum 'Dy24 Er4 Co8'
_space_group_name_H-M_alt 'I m m m'
_space_group_IT_number 71
_space_group_name_Hall '-I 2 2'
_cell_length_a 9.425
_cell_length_b 10.007
_cell_length_c 10.023
_cell_angle_alpha 90.00
_cell_angle_beta 90.00
_cell_angle_gamma 90.00
loop_
_atom_site_label
_atom_site_type_symbol
_atom_site_fract_x
_atom_site_fract_y
_atom_site_fract_z
Dy1 Dy 0.000 0.212 0.242
Dy2 Dy 0.183 0.500 0.180
Dy3 Dy 0.212 0.316 0.500
Er1 Er 0.000 0.000 0.000
Er2 Er 0.000 0.000 0.500
Co1 Co 0.000 0.289 0.000
Co2 Co 0.000 0.500 0.385
```


DyEr4Co: relaxed, GGA-PBE.

The structure in CIF format:
```
data_DyEr4Co
_chemical_formula_sum 'Dy2 Er8 Co2'
_space_group_name_H-M_alt 'C 1 2/m 1'
_space_group_IT_number 12
_cell_length_a 11.805
_cell_length_b 3.524
_cell_length_c 8.230
_cell_angle_alpha 90.00
_cell_angle_beta 110.78
_cell_angle_gamma 90.00
loop_
_space_group_symop_operation_xyz
'x,y,z'
'-x,-y,-z'
'-x,y,-z'
'x,-y,z'
'x+1/2,y+1/2,z'
'-x+1/2,-y+1/2,-z'
'-x+1/2,y+1/2,-z'
'x+1/2,-y+1/2,z'
loop_
_atom_site_label
_atom_site_type_symbol
_atom_site_fract_x
_atom_site_fract_y
_atom_site_fract_z
Dy1 Dy 0.000 0.000 0.000
Er1 Er 0.127 0.500 0.378
Er2 Er 0.169 0.500 0.792
Co1 Co 0.000 0.000 0.500
```


Dy3ErCo: relaxed, GGA-PBE.

The structure in CIF format:
```
data_Dy3ErCo
_chemical_formula_sum 'Dy12 Er4 Co4'
_space_group_name_H-M_alt 'C 1 2/m 1'
_space_group_IT_number 12
_cell_length_a 11.534
_cell_length_b 8.272
_cell_length_c 8.100
_cell_angle_alpha 90.00
_cell_angle_beta 134.42
_cell_angle_gamma 90.00
loop_
_space_group_symop_operation_xyz
'x,y,z'
'-x,-y,-z'
'-x,y,-z'
'x,-y,z'
'x+1/2,y+1/2,z'
'-x+1/2,-y+1/2,-z'
'-x+1/2,y+1/2,-z'
'x+1/2,-y+1/2,z'
loop_
_atom_site_label
_atom_site_type_symbol
_atom_site_fract_x
_atom_site_fract_y
_atom_site_fract_z
Dy1 Dy 0.048 0.000 0.341
Dy2 Dy 0.249 0.298 0.793
Er1 Er 0.047 0.500 0.252
Co1 Co 0.250 0.000 0.872
```


Dy3Er3Co4: relaxed, GGA-PBE.

The structure in CIF format:
```
data_Dy3Er3Co4
_chemical_formula_sum 'Dy6 Er6 Co8'
_space_group_name_H-M_alt 'A m m 2'
_space_group_IT_number 38
_cell_length_a 4.150
_cell_length_b 10.104
_cell_length_c 10.121
_cell_angle_alpha 90.00
_cell_angle_beta 90.00
_cell_angle_gamma 90.00
loop_
_space_group_symop_operation_xyz
'x,y,z'
'-x,-y,z'
'-x,y,z'
'x,-y,z'
'x,y+1/2,z+1/2'
'-x,-y+1/2,z+1/2'
'-x,y+1/2,z+1/2'
'x,-y+1/2,z+1/2'
loop_
_atom_site_label
_atom_site_type_symbol
_atom_site_fract_x
_atom_site_fract_y
_atom_site_fract_z
Dy1 Dy 0.000 0.000 0.000
Dy2 Dy 0.500 0.250 0.079
Er1 Er 0.000 0.000 0.655
Er2 Er 0.000 0.172 0.329
Co1 Co 0.500 0.000 0.220
Co2 Co 0.500 0.000 0.443
Co3 Co 0.500 0.112 0.826
```


DyEr4Co4: relaxed, GGA-PBE.

The structure in CIF format:
```
data_DyEr4Co4
_chemical_formula_sum 'Dy2 Er8 Co8'
_space_group_name_H-M_alt 'P 42/n'
_space_group_IT_number 86
_cell_length_a 8.351
_cell_length_b 8.351
_cell_length_c 5.516
_cell_angle_alpha 90.00
_cell_angle_beta 90.00
_cell_angle_gamma 90.00
loop_
_space_group_symop_operation_xyz
'x,y,z'
'-x,-y,-z'
'-y,x+1/2,z+1/2'
'y,-x+1/2,-z+1/2'
'-x+1/2,-y+1/2,z'
'x+1/2,y+1/2,-z'
'y+1/2,-x,z+1/2'
'-y+1/2,x,-z+1/2'
loop_
_atom_site_label
_atom_site_type_symbol
_atom_site_fract_x
_atom_site_fract_y
_atom_site_fract_z
Dy1 Dy 0.250 0.250 0.250
Er1 Er 0.063 0.673 0.132
Co1 Co 0.013 0.612 0.616
```


DyEr3Co: relaxed, GGA-PBE.

The structure in CIF format:
```
data_DyEr3Co
_chemical_formula_sum 'Dy2 Er6 Co2'
_space_group_name_H-M_alt 'P 1 21/m 1'
_space_group_IT_number 11
_cell_length_a 5.965
_cell_length_b 7.567
_cell_length_c 6.211
_cell_angle_alpha 90.00
_cell_angle_beta 90.86
_cell_angle_gamma 90.00
loop_
_space_group_symop_operation_xyz
'x,y,z'
'-x,-y,-z'
'-x,y+1/2,-z'
'x,-y+1/2,z'
loop_
_atom_site_label
_atom_site_type_symbol
_atom_site_fract_x
_atom_site_fract_y
_atom_site_fract_z
Dy1 Dy 0.243 0.250 0.158
Er1 Er 0.246 0.750 0.160
Er2 Er 0.249 0.000 0.671
Co1 Co 0.001 0.750 0.499
```


DyErCo: relaxed, GGA-PBE.

The structure in CIF format:
```
data_DyErCo
_chemical_formula_sum 'Dy2 Er2 Co2'
_space_group_name_H-M_alt 'I 4 m m'
_space_group_IT_number 107
_space_group_name_Hall 'I 4 -2'
_cell_length_a 3.348
_cell_length_b 3.348
_cell_length_c 12.539
_cell_angle_alpha 90.00
_cell_angle_beta 90.00
_cell_angle_gamma 90.00
loop_
_atom_site_label
_atom_site_type_symbol
_atom_site_fract_x
_atom_site_fract_y
_atom_site_fract_z
Dy1 Dy 0.000 0.000 0.000
Er1 Er 0.000 0.000 0.257
Co1 Co 0.000 0.000 0.630
```


DyEr2Co2: relaxed, GGA-PBE.

The structure in CIF format:
```
data_DyEr2Co2
_chemical_formula_sum 'Dy2 Er4 Co4'
_space_group_name_H-M_alt 'P 4/m b m'
_space_group_IT_number 127
_space_group_name_Hall '-P 4 2ab'
_cell_length_a 7.136
_cell_length_b 7.136
_cell_length_c 4.149
_cell_angle_alpha 90.00
_cell_angle_beta 90.00
_cell_angle_gamma 90.00
loop_
_atom_site_label
_atom_site_type_symbol
_atom_site_fract_x
_atom_site_fract_y
_atom_site_fract_z
Dy1 Dy 0.000 0.000 0.000
Er1 Er 0.172 0.328 0.500
Co1 Co 0.112 0.612 0.000
```


Dy2ErCo2: relaxed, GGA-PBE.

The structure in CIF format:
```
data_Dy2ErCo2
_chemical_formula_sum 'Dy8 Er4 Co8'
_space_group_name_H-M_alt 'C 1 2/m 1'
_space_group_IT_number 12
_cell_length_a 12.301
_cell_length_b 3.793
_cell_length_c 10.815
_cell_angle_alpha 90.00
_cell_angle_beta 120.45
_cell_angle_gamma 90.00
loop_
_space_group_symop_operation_xyz
'x,y,z'
'-x,-y,-z'
'-x,y,-z'
'x,-y,z'
'x+1/2,y+1/2,z'
'-x+1/2,-y+1/2,-z'
'-x+1/2,y+1/2,-z'
'x+1/2,-y+1/2,z'
loop_
_atom_site_label
_atom_site_type_symbol
_atom_site_fract_x
_atom_site_fract_y
_atom_site_fract_z
Dy1 Dy 0.036 0.000 0.195
Dy2 Dy 0.165 0.000 0.574
Er1 Er 0.214 0.500 0.861
Co1 Co 0.010 0.500 0.394
Co2 Co 0.107 0.500 0.049
```


DyErFeCo: relaxed, GGA-PBE.

The structure in CIF format:
```
data_DyErFeCo
_chemical_formula_sum 'Dy4 Er4 Fe4 Co4'
_space_group_name_H-M_alt 'F -4 3 m'
_space_group_IT_number 216
_space_group_name_Hall 'F -4 2 3'
_cell_length_a 6.679
_cell_length_b 6.679
_cell_length_c 6.679
_cell_angle_alpha 90.00
_cell_angle_beta 90.00
_cell_angle_gamma 90.00
loop_
_atom_site_label
_atom_site_type_symbol
_atom_site_fract_x
_atom_site_fract_y
_atom_site_fract_z
Dy1 Dy 0.000 0.000 0.000
Er1 Er 0.000 0.000 0.500
Fe1 Fe 0.250 0.250 0.750
Co1 Co 0.250 0.250 0.250
```


DyErGaCo: relaxed, GGA-PBE.

The structure in CIF format:
```
data_DyErGaCo
_chemical_formula_sum 'Dy2 Er2 Ga2 Co2'
_space_group_name_H-M_alt 'A m m 2'
_space_group_IT_number 38
_cell_length_a 4.231
_cell_length_b 3.857
_cell_length_c 10.494
_cell_angle_alpha 90.00
_cell_angle_beta 90.00
_cell_angle_gamma 90.00
loop_
_space_group_symop_operation_xyz
'x,y,z'
'-x,-y,z'
'-x,y,z'
'x,-y,z'
'x,y+1/2,z+1/2'
'-x,-y+1/2,z+1/2'
'-x,y+1/2,z+1/2'
'x,-y+1/2,z+1/2'
loop_
_atom_site_label
_atom_site_type_symbol
_atom_site_fract_x
_atom_site_fract_y
_atom_site_fract_z
Dy1 Dy 0.000 0.000 0.000
Er1 Er 0.500 0.000 0.716
Ga1 Ga 0.500 0.000 0.423
Co1 Co 0.000 0.000 0.293
```


no.,V (Å³/f.u.),uncorrected energy (eV per atom),calculated formation energy (eV/atom)
1,91.2,-6.4900,-0.225
2,236.3,-5.2261,-0.072
3,160.0,-5.0432,-0.050
4,138.0,-5.2066,-0.112
5,212.2,-5.7589,-0.167
6,192.3,-5.7807,-0.083
7,140.2,-5.1390,-0.060
8,70.3,-5.5575,-0.134
9,105.6,-5.7633,-0.175
10,108.7,-5.7432,-0.147
11,74.5,-6.1633,0.020
12,85.6,-5.2201,-0.396